(1)
Entry from Alexandria via LeMat-Bulk: crystalline Er5Sn18Rh6 at its relaxed geometry (PBE).

Properties
- Volume: 23.5 Å³ per atom
- Energy: -0.392 Ry per atom
- Calculated formation energy: -540 meV per atom
- M_tot: 0.00 μB per cell
- SG: No. 216

Cell: 9.8714 9.8714 9.8714 Å, 60.00 60.00 60.00°
Positions (direct):
Sn  0.9899  0.3599  0.6603
Sn  0.5866  0.2402  0.5866
Sn  0.6603  0.9899  0.3599
Sn  0.3599  0.9899  0.6603
Sn  0.2402  0.5866  0.5866
Sn  0.9899  0.9899  0.3599
Sn  0.6603  0.9899  0.9899
Sn  0.5866  0.5866  0.5866
Sn  0.9899  0.9899  0.6603
Sn  0.3599  0.6603  0.9899
Sn  0.9899  0.6603  0.3599
Sn  0.3599  0.9899  0.9899
Sn  0.6603  0.3599  0.9899
Sn  0.9899  0.3599  0.9899
Sn  0.9899  0.6603  0.9899
Sn  0.5866  0.5866  0.2402
Sn  0.7500  0.7500  0.7500
Sn  0.2500  0.2500  0.2500
Er  0.3699  0.8902  0.3699
Er  0.0000  0.0000  0.0000
Er  0.3699  0.3699  0.8902
Er  0.8902  0.3699  0.3699
Er  0.3699  0.3699  0.3699
Rh  0.2556  0.2556  0.7444
Rh  0.7444  0.2556  0.7444
Rh  0.2556  0.7444  0.2556
Rh  0.7444  0.2556  0.2556
Rh  0.7444  0.7444  0.2556
Rh  0.2556  0.7444  0.7444



(2)
Entry from Alexandria via LeMat-Bulk: crystalline CaMg2Au2 at its relaxed geometry (PBE).

Properties
- Volume: 22.8 Å³ per atom
- Energy: -0.219 Ry per atom
- Calculated formation energy: -625 meV per atom
- ΔE to the lowest computed polymorph: 0 kJ/mol of formula units
- M_tot: 0.00 μB per cell
- SG: No. 139

Cell: 4.2513 4.2513 6.9831 Å, 72.28 72.28 90.00°
Positions (direct):
Mg  0.7500  0.2500  0.5000
Mg  0.2500  0.7500  0.5000
Ca  0.0000  0.0000  0.0000
Au  0.3893  0.3893  0.2213
Au  0.6107  0.6107  0.7787



(3)
Entry from Alexandria via LeMat-Bulk: crystalline Pd3RhF at its relaxed geometry (PBE).

Properties
- Volume: 16.0 Å³ per atom
- Raw formation energy: 0.512 eV per atom
- Energy: -0.327 Ry per atom
- ΔE to the lowest computed polymorph: 0 kJ/mol of formula units
- M_tot: 2.62 μB per cell
- SG: No. 221

Cell: 4.3091 4.3091 4.3091 Å, 90.00 90.00 90.00°
Positions (direct):
Pd  0.0000  0.5000  0.0000
Pd  0.0000  0.0000  0.5000
Pd  0.5000  0.0000  0.0000
F  0.0000  0.0000  0.0000
Rh  0.5000  0.5000  0.5000



(4)
Entry from Alexandria via LeMat-Bulk: crystalline ErFeHg at its relaxed geometry (PBE).

Properties
- Volume: 20.4 Å³ per atom
- Energy: -0.335 Ry per atom
- Calculated formation energy: -110 meV per atom
- M_tot: 0.00 μB per cell
- SG: No. 12

Cell: 3.8188 5.0108 6.8205 Å, 101.99 106.26 90.00°
Positions (direct):
Er  0.1347  0.3311  0.2693
Er  0.8653  0.6689  0.7307
Hg  0.4292  0.2152  0.8583
Hg  0.5708  0.7848  0.1417
Fe  0.2323  0.9042  0.4646
Fe  0.7677  0.0958  0.5354



(5)
Entry from Alexandria via LeMat-Bulk: crystalline Ti3Re2 at its relaxed geometry (PBE).

Properties
- Volume: 15.7 Å³ per atom
- Energy: -0.723 Ry per atom
- Calculated formation energy: -123 meV per atom
- M_tot: 0.00 μB per cell
- SG: No. 43

Cell: 2.6970 4.7310 12.9150 Å, 88.29 84.01 73.44°
Positions (direct):
Ti  0.8515  0.5000  0.5000
Ti  0.5013  0.0001  0.1981
Ti  0.1015  0.0000  0.0000
Ti  0.2514  0.4999  0.6981
Ti  0.4494  0.5001  0.3019
Ti  0.6995  0.9999  0.8019
Re  0.6501  0.4999  0.8976
Re  0.9001  0.0001  0.3976
Re  0.2977  0.9999  0.6024
Re  0.0477  0.5001  0.1024



(6)
Entry from Alexandria via LeMat-Bulk: crystalline Sr3Nb2O7 at its relaxed geometry (PBE).

Properties
- Volume: 15.0 Å³ per atom
- Raw formation energy: -2.631 eV per atom
- Energy: -0.560 Ry per atom
- M_tot: 0.00 μB per cell
- SG: No. 65

Cell: 4.0257 4.1024 11.0937 Å, 100.66 90.00 90.00°
Positions (direct):
Sr  0.5000  0.6764  0.3529
Sr  0.5000  0.5000  0.0000
Sr  0.5000  0.3236  0.6471
O  0.0000  0.0000  0.0000
O  0.5000  0.9053  0.8107
O  0.0000  0.5939  0.1878
O  0.0000  0.8109  0.6217
O  0.5000  0.0947  0.1893
O  0.0000  0.1891  0.3783
O  0.0000  0.4061  0.8122
Nb  0.0000  0.0954  0.1908
Nb  0.0000  0.9046  0.8092



(7)
Entry from Alexandria via LeMat-Bulk: crystalline Mn2GeHIr at its relaxed geometry (PBE).

Properties
- Volume: 11.2 Å³ per atom
- Energy: -0.524 Ry per atom
- M_tot: 5.07 μB per cell
- SG: No. 123

Cell: 3.7940 3.7940 3.8830 Å, 90.00 90.00 90.00°
Positions (direct):
H  0.0000  0.0000  0.0000
Ge  0.5000  0.5000  0.5000
Mn  0.0000  0.5000  0.0000
Mn  0.5000  0.0000  0.0000
Ir  0.0000  0.0000  0.5000



(8)
Entry from Alexandria via LeMat-Bulk: crystalline La3CeHo3Te8 at its relaxed geometry (PBE).

Properties
- Volume: 33.2 Å³ per atom
- Raw formation energy: -1.450 eV per atom
- Energy: -0.399 Ry per atom
- M_tot: 1.49 μB per cell
- SG: No. 12

Cell: 8.8619 8.8709 8.9353 Å, 119.76 90.02 120.04°
Positions (direct):
Te  0.2558  0.5115  0.2673
Te  0.2569  0.9878  0.7449
Te  0.7431  0.4861  0.2552
Te  0.2695  0.0121  0.2548
Te  0.7431  0.0122  0.2551
Te  0.2569  0.5139  0.7448
Te  0.7305  0.9879  0.7452
Te  0.7442  0.4885  0.7327
Ce  0.0000  0.0000  0.5000
Ho  0.5000  0.5000  0.5000
Ho  0.5000  0.0000  0.5000
Ho  0.0000  0.5000  0.5000
La  0.0000  0.0000  0.0000
La  0.5000  0.5000  0.0000
La  0.0000  0.5000  0.0000



(9)
Entry from Alexandria via LeMat-Bulk: crystalline BaYOs2 at its relaxed geometry (PBE).

Properties
- Volume: 22.3 Å³ per atom
- Energy: -0.498 Ry per atom
- Calculated formation energy: 942 meV per atom
- ΔE to the lowest computed polymorph: 323 kJ/mol of formula units
- M_tot: 0.00 μB per cell
- SG: No. 166

Cell: 9.6457 9.6457 9.6457 Å, 19.69 19.69 19.69°
Positions (direct):
Os  0.5074  0.5074  0.5074
Os  0.9926  0.9926  0.9926
Y  0.2500  0.2500  0.2500
Ba  0.7500  0.7500  0.7500



(10)
Entry from Alexandria via LeMat-Bulk: crystalline LiLa2Sn3Pt4 at its relaxed geometry (PBE).

Properties
- Volume: 22.3 Å³ per atom
- Energy: -0.417 Ry per atom
- Calculated formation energy: -877 meV per atom
- M_tot: 0.00 μB per cell
- SG: No. 115

Cell: 4.5372 4.5372 10.8497 Å, 90.00 90.00 90.00°
Positions (direct):
Pt  0.5000  0.0000  0.6291
Pt  0.5000  0.5000  0.0000
Pt  0.0000  0.5000  0.3709
Pt  0.0000  0.0000  0.0000
La  0.5000  0.0000  0.2514
La  0.0000  0.5000  0.7486
Sn  0.5000  0.0000  0.8690
Sn  0.0000  0.5000  0.1310
Sn  0.0000  0.0000  0.5000
Li  0.5000  0.5000  0.5000